Entry from Alexandria: a relaxed SrBe2Tl crystal (PBE).

The structure in POSCAR format:
```
SrBe2Tl
1.0
-1.826 -4.420 2.210
4.682 -2.187 1.027
-2.301 4.479 1.550
Be Sr Tl
2 1 1
direct
0.912 0.912 0.000
0.857 0.357 0.500
0.524 0.524 0.000
0.207 0.707 0.500
```

Summary:
Symmetry ... Imm2 (44)
Fermi-level density of states ... 0.6965 states/eV per atom
Energy relative to the lowest polymorph listed for this composition ... 0.907 eV per formula unit
Energy relative to the elements ... 0.42 eV per atom

Entry from Alexandria: a relaxed SrBe2Tl crystal (PBE).

The structure in POSCAR format:
```
SrBe2Tl
1.0
3.303 0.025 0.000
-0.272 3.292 0.000
0.000 0.000 7.511
Tl Sr Be
1 1 2
direct
0.500 0.500 0.812
0.000 0.000 0.465
0.500 0.500 0.161
0.000 0.000 0.062
```

Summary:
Symmetry ... Cmm2 (35)
Fermi-level density of states ... 0.3331 states/eV per atom
Energy relative to the lowest polymorph listed for this composition ... 0.961 eV per formula unit
Energy relative to the elements ... 0.43 eV per atom

Entry from Alexandria: a relaxed SrBe2Tl crystal (PBE).

The structure in POSCAR format:
```
SrBe2Tl
1.0
4.766 0.000 0.000
0.000 4.766 0.000
2.383 2.383 8.456
Be Sr Tl
4 2 2
direct
0.875 0.125 0.250
0.375 0.125 0.750
0.875 0.625 0.250
0.875 0.125 0.750
0.250 0.750 0.500
0.500 0.500 0.000
0.750 0.250 0.500
0.000 0.000 0.000
```

Summary:
Symmetry ... I4_1/amd (141)
Fermi-level density of states ... 0.7274 states/eV per atom
Energy relative to the lowest polymorph listed for this composition ... 0.701 eV per formula unit
Energy relative to the elements ... 0.37 eV per atom

Entry from Alexandria: a relaxed SrBeTl crystal (PBE).

The structure in POSCAR format:
```
SrBeTl
1.0
5.213 0.000 0.000
2.606 4.514 0.000
2.606 1.505 4.256
Be Tl Sr
1 1 1
direct
0.500 0.500 0.500
0.000 0.000 0.000
0.750 0.750 0.750
```

Summary:
Symmetry ... F-43m (216)
Fermi-level density of states ... 1.3951 states/eV per atom
Energy relative to the lowest polymorph listed for this composition ... 2.170 eV per formula unit
Energy relative to the elements ... 0.77 eV per atom